! Rb4Zn3F10 PBE-GGA relaxed; values from VASP
&SYSTEM
  ibrav = 0, nat = 17, ntyp = 3
/
ATOMIC_SPECIES
Zn 65.41 Zn.upf
F 19.00 F.upf
Rb 85.47 Rb.upf
CELL_PARAMETERS angstrom
4.1629 0.0000 -0.5653
-0.0768 4.1622 -0.5653
-0.0027 -0.0027 15.5922
ATOMIC_POSITIONS angstrom
Zn 0.5581 0.5685 4.1104
Zn 3.5254 3.5910 10.3512
Zn 0.0000 0.0000 0.0000
F -0.0384 2.0811 -0.2826
F 2.0815 0.0000 -0.2826
F 3.8050 3.8758 12.4102
F 3.2526 3.3132 8.3425
F 0.8309 0.8464 6.1192
F 1.4458 3.5930 10.6480
F 2.6377 0.5666 3.8136
F 0.2786 0.2837 2.0514
F 3.5657 1.5118 10.6480
F 0.5178 2.6477 3.8136
Rb 1.7631 1.7959 12.9847
Rb 2.3204 2.3636 1.4769
Rb 2.8696 2.9230 5.5215
Rb 1.2139 1.2365 8.9401
! * formation energy from raw total energies: -247.5 kJ/mol of atoms
! * ρ: 4.5 g/cm3
! * SG: I4/mmm